Entry 1:
La4PmTe7 | the Alexandria database | PBE | relaxed; crystal system = monoclinic; formation energy from raw total energies = -1.5534 eV/atom; total energy = -5.42 eV/atom
1.0
7.4868 -2.2216 0.0000
7.4868 2.2216 0.0000
-3.4587 0.0000 13.1246
La Pm Te
4 1 7
direct
0.0000 0.0000 0.0000 La
0.1870 0.1870 0.7640 La
0.5856 0.5856 0.3819 La
0.8859 0.8859 0.5720 La
0.7708 0.7708 0.1497 Pm
0.1498 0.1498 0.2245 Te
0.2245 0.2245 0.5235 Te
0.3822 0.3822 0.0744 Te
0.5471 0.5471 0.6231 Te
0.6273 0.6273 0.9255 Te
0.8474 0.8474 0.7901 Te
0.9238 0.9238 0.3535 Te



Entry 2:
Sm4Ga3Au | the Alexandria database | PBE | relaxed; formation enthalpy at 0 K = -626 meV per atom; crystal system = orthorhombic; total energy = -4.53 eV/atom
1.0
4.2364 0.0000 0.0000
0.0000 4.3043 0.0000
0.0000 0.0000 11.2619
Sm Ga Au
4 3 1
direct
0.0000 0.0000 0.0000 Sm
0.0000 0.5000 0.2804 Sm
0.5000 0.0000 0.4977 Sm
0.5000 0.5000 0.7827 Sm
0.0000 0.0000 0.7121 Ga
0.0000 0.5000 0.5684 Ga
0.5000 0.5000 0.0585 Ga
0.5000 0.0000 0.2188 Au



Entry 3:
CsScSe2 | the Alexandria database | PBE | relaxed; crystal system = tetragonal; formation energy from raw total energies = -1.4759 eV/atom; total energy = -5.01 eV/atom
1.0
-4.4236 4.4236 3.5925
4.4236 -4.4236 3.5925
4.4236 4.4236 -3.5925
Cs Sc Se
2 2 4
direct
0.2500 0.2500 0.0000 Cs
0.7500 0.7500 0.0000 Cs
0.2500 0.7500 0.5000 Sc
0.7500 0.2500 0.5000 Sc
0.1510 0.6510 0.8020 Se
0.3490 0.1510 0.5000 Se
0.6510 0.8490 0.5000 Se
0.8490 0.3490 0.1980 Se



Entry 4:
HfIn3H | the Alexandria database | PBE | relaxed; crystal system = cubic; total energy = -3.23 eV/atom
1.0
5.6828 0.0000 0.0000
0.0000 5.6828 0.0000
0.0000 0.0000 5.6828
Hf In H
1 3 1
direct
0.0000 0.0000 0.0000 Hf
0.0000 0.0000 0.5000 In
0.0000 0.5000 0.0000 In
0.5000 0.0000 0.0000 In
0.5000 0.5000 0.5000 H



Q: total energy of number 4 (HfIn3H)?
A: -3.23 eV/atom



Q: The lowest total energy belongs to which entry?
A: La4PmTe7